## Ce4Nd2Sn3N2 (GGA-PBE)

Data for a relaxed Ce4Nd2Sn3N2 crystal.

POSCAR file:
```
Ce4Nd2Sn3N2
1.0
-2.368 2.368 13.145
2.368 -2.368 13.145
2.368 2.368 -13.145
Ce Nd Sn N
4 2 3 2
Direct
0.085 0.585 0.500
0.415 0.915 0.500
0.585 0.085 0.500
0.915 0.415 0.500
0.196 0.196 0.000
0.804 0.804 0.000
0.323 0.323 0.000
0.500 0.500 0.000
0.677 0.677 0.000
0.103 0.103 0.000
0.897 0.897 0.000
```

## Properties
The value obtained for the density of states at the Fermi level is 19.18 states/eV per cell. For the uncorrected formation energy, the calculation gives -0.911 eV per atom. Its space-group type is I4/mmm, No. 139.